A plane-wave DFT calculation with PBE was carried out for a relaxed VGeAu3 crystal.

Cell: 4.9364 4.9364 4.9364 Å, 90.00 90.00 90.00°
Each line ends with the local moment (μB).
Atoms (fractional coordinates):
Au: 0.0000 0.0000 0.5000  0.09
Au: 0.0000 0.5000 0.0000  0.09
Au: 0.5000 0.0000 0.0000  0.09
Ge: 0.5000 0.5000 0.5000  -0.02
V: 0.0000 0.0000 0.0000  2.04

Results
ΔE_f = 883.8 meV/atom

***

A plane-wave DFT calculation with PBE was carried out for a relaxed CaPN2F crystal.

Cell: 4.7500 4.7500 4.1772 Å, 90.00 90.00 90.00°
Each line ends with the local moment (μB).
Atoms (fractional coordinates):
Ca: 0.0000 0.0000 0.0000  0.03
N: 0.0000 0.5000 0.0000  1.31
N: 0.5000 0.0000 0.0000  1.31
F: 0.0000 0.0000 0.5000  -0.01
P: 0.5000 0.5000 0.5000  -0.88

Results
energy above the most stable polymorph in this dataset = 8.09 eV/f.u.
formation energy without anion corrections = 0.8512 eV/atom

***

A plane-wave DFT calculation with PBE was carried out for a relaxed KMg2In crystal.

Cell: 5.4406 5.4406 5.4406 Å, 60.00 60.00 60.00°
Atoms (fractional coordinates):
In: 0.5000 0.5000 0.5000
Mg: 0.2500 0.2500 0.2500
Mg: 0.0000 0.0000 0.0000
K: 0.7500 0.7500 0.7500

Results
ΔE_f = 115.6 meV/atom

***

One value per record, in order, for Fermi-level density of states: 5.3 1.1 2.2 states/eV per cell.